DFT (SCAN) results for NaSi2H3O6 at its PBEsol-relaxed geometry.

Output
magnetization	0.01	μB per cell
DOS at the Fermi energy	0.000	states/eV per cell
electronic total energy	-8.20	eV/atom

abc: 16.1745 18.1010 7.1143
angles: 90.00 90.00 90.00
Closest atoms and distances in Å follow each position.
Space group Fdd2 (No. 43)
Asymmetric unit:
Na  0.1075  0.4876  0.0000  5 O 2.31-2.50
Si  0.0240  0.3423  0.4872  4 O 1.60-1.66
Si  0.1037  0.2273  0.2397  4 O 1.61-1.65
H  0.0058  0.1215  0.3895  1 O 0.99
H  0.0170  0.1147  0.6126  1 O 1.01
H  0.0880  0.0783  0.8275  1 O 1.07
O  0.0092  0.0856  0.4935  2 H 0.99-1.01
O  0.0165  0.1838  0.1909  2 Si 1.65-1.66, 1 H 1.82
O  0.0433  0.1447  0.8265  1 H 1.40
O  0.0774  0.4155  0.5445  2 Si 1.63
O  0.0898  0.2754  0.4333  2 Si 1.64-1.66
O  0.1215  0.0276  0.8120  1 H 1.07